# 1
# Ti2InNi

An optimized crystal structure of Ti2InNi (PBE-GGA, Alexandria via LeMat-Bulk).

Density   6.9 Mg/m³
ΔH_f (0 K)   -0.1627 eV per atom

a b c (Å): 4.196 3.933 3.933
angles (deg): 90.00 90.00 90.00
Last column: magnetic moment on the atom in μB.
Atoms (fractional coordinates):
In 0.500 0.000 0.000  0.00
Ni 0.500 0.500 0.500  0.03
Ti 0.000 0.000 0.500  0.21
Ti 0.000 0.500 0.000  0.21

=====

# 2
# KRe2Tc

An optimized crystal structure of KRe2Tc (PBE-GGA, Alexandria via LeMat-Bulk).

Density   11.6 Mg/m³
ΔH_f (0 K)   1.2581 eV per atom

a b c (Å): 6.053 6.053 6.053
angles (deg): 154.42 130.00 56.99
Atoms (fractional coordinates):
Re 0.536 0.536 0.000
Re 0.964 0.964 0.000
Tc 0.750 0.250 0.500
K 0.250 0.750 0.500

=====

# 3
# Li2ZrHg

An optimized crystal structure of Li2ZrHg (PBE-GGA, Alexandria via LeMat-Bulk).

Density   6.4 Mg/m³
ΔH_f (0 K)   0.0062 eV per atom

a b c (Å): 2.971 2.971 9.101
angles (deg): 90.00 90.00 100.72
Atoms (fractional coordinates):
Hg 0.500 0.500 0.750
Zr 0.500 0.500 0.250
Li 0.000 0.000 0.974
Li 0.000 0.000 0.526

=====

# 4
# Na2Ge4Ir3

An optimized crystal structure of Na2Ge4Ir3 (PBE-GGA, Alexandria via LeMat-Bulk).

Density   8.9 Mg/m³
ΔH_f (0 K)   -0.1075 eV per atom

a b c (Å): 5.639 5.639 6.787
angles (deg): 102.12 102.12 119.64
Atoms (fractional coordinates):
Ge 0.327 0.985 0.312
Ge 0.015 0.673 0.688
Ge 0.673 0.015 0.688
Ge 0.985 0.327 0.312
Ir 0.500 0.000 0.000
Ir 0.000 0.000 0.000
Ir 0.000 0.500 0.000
Na 0.381 0.381 0.762
Na 0.619 0.619 0.238